Model 1:
{
  "formula": "HfTiTl",
  "functional": "PBE",
  "state": "relaxed",
  "rho_g_cm3": 10.16,
  "n_ef_per_ev_atom": 0.9866,
  "crystal_system": "tetragonal",
  "spacegroup": "P4_2/mmc, No. 131",
  "cell": [[-2.8676, -4.5260, 4.9034], [3.5074, -5.5626, -3.0833], [4.1727, 0.8457, 3.2209]],
  "species": ["Hf", "Hf", "Hf", "Hf", "Ti", "Ti", "Ti", "Ti", "Tl", "Tl", "Tl", "Tl"],
  "frac_coords": [[0.6984, 0.5000, 0.0000], [0.5000, 0.3016, 0.5000], [0.5000, 0.6984, 0.5000], [0.3016, 0.5000, 0.0000], [0.5000, 0.8445, 0.0000], [0.8445, 0.5000, 0.5000], [0.1555, 0.5000, 0.5000], [0.5000, 0.1555, 0.0000], [0.0000, 0.7878, 0.0000], [0.7878, 0.0000, 0.5000], [0.2122, 0.0000, 0.5000], [0.0000, 0.2122, 0.0000]]
}

Model 2:
{
  "formula": "HfTiTl",
  "functional": "PBE",
  "state": "relaxed",
  "rho_g_cm3": 11.11,
  "n_ef_per_ev_atom": 1.0544,
  "crystal_system": "hexagonal",
  "spacegroup": "P-6m2, No. 187",
  "cell": [[-1.0133, 2.9567, -0.1617], [-2.6389, -1.1199, -3.9415], [-1.9554, -0.4272, 4.4439]],
  "species": ["Tl", "Hf", "Ti"],
  "frac_coords": [[0.4999, 0.6667, 0.3333], [0.9999, 0.0000, 0.0000], [0.5002, 0.3333, 0.6667]]
}

Model 3:
{
  "formula": "HfTiTl",
  "functional": "PBE",
  "state": "relaxed",
  "rho_g_cm3": 11.21,
  "n_ef_per_ev_atom": 0.8385,
  "crystal_system": "orthorhombic",
  "spacegroup": "Fmm2, No. 42",
  "cell": [[-0.0884, 1.5492, -2.6385], [-2.8777, -0.9290, -0.4753], [-3.7151, 4.2482, 4.3847]],
  "species": ["Hf", "Ti", "Tl"],
  "frac_coords": [[0.6617, 0.5571, 0.7678], [0.3095, 0.9092, 0.0621], [0.9790, 0.2402, 0.4015]]
}

Least stable of them? model 1.

Model 1:
{
  "formula": "Hf2TiTl2",
  "functional": "PBE",
  "state": "relaxed",
  "rho_g_cm3": 12.10,
  "n_ef_per_ev_atom": 0.9703,
  "crystal_system": "tetragonal",
  "spacegroup": "P4/mbm, No. 127",
  "cell": [[7.4522, 0.0000, 0.0000], [0.0000, 7.4522, 0.0000], [0.0000, 0.0000, 4.0194]],
  "species": ["Tl", "Tl", "Tl", "Tl", "Hf", "Hf", "Hf", "Hf", "Ti", "Ti"],
  "frac_coords": [[0.3619, 0.8619, 0.0000], [0.8619, 0.6381, 0.0000], [0.6381, 0.1381, 0.0000], [0.1381, 0.3619, 0.0000], [0.1689, 0.6689, 0.5000], [0.6689, 0.8311, 0.5000], [0.8311, 0.3311, 0.5000], [0.3311, 0.1689, 0.5000], [0.0000, 0.0000, 0.0000], [0.5000, 0.5000, 0.0000]]
}

Model 2:
{
  "formula": "Hf2TiTl2",
  "functional": "PBE",
  "state": "relaxed",
  "rho_g_cm3": 10.77,
  "n_ef_per_ev_atom": 1.5456,
  "crystal_system": "tetragonal",
  "spacegroup": "I4/mmm, No. 139",
  "cell": [[-0.7041, -3.1534, 2.4261], [0.7322, -2.5244, -3.0686], [7.4484, -3.0196, 1.6013]],
  "species": ["Tl", "Tl", "Hf", "Hf", "Ti"],
  "frac_coords": [[0.7500, 0.2500, 0.5000], [0.2500, 0.7500, 0.5000], [0.4097, 0.4097, 0.1807], [0.5903, 0.5903, 0.8193], [0.0000, 0.0000, 0.0000]]
}

Least stable of them? model 2.